{
  "formula": "SrBeAsIr",
  "functional": "PBE",
  "state": "optimized geometry",
  "lattice": [[0.000, 3.351, 3.351], [3.351, 0.000, 3.351], [3.351, 3.351, 0.000]],
  "species": ["Sr", "Be", "As", "Ir"],
  "frac_coords": [[0.000, 0.000, 0.000], [0.500, 0.500, 0.500], [0.750, 0.750, 0.750], [0.250, 0.250, 0.250]],
  "de_polymorph_ev_per_atom": 0.353,
  "space_group": "F-43m, No. 216"
}